# NaSr4Cd (PBE, relaxed)
# - E_form (eV/atom) = -0.11
# - relative energy among the computed polymorphs (kJ/mol of atoms) = 0.0
# - mass density (g/cm³) = 3.02
# - final energy (eV/atom) = -1.60
data_NaSr4Cd
_symmetry_space_group_name_H-M 'P 4/m m m'
_symmetry_Int_Tables_number 123
_symmetry_space_group_name_Hall '-P 4 2'
_cell_length_a 4.109
_cell_length_b 4.109
_cell_length_c 15.810
_cell_angle_alpha 90.00
_cell_angle_beta 90.00
_cell_angle_gamma 90.00
loop_
_atom_site_label
_atom_site_fract_x
_atom_site_fract_y
_atom_site_fract_z
Na1 0.000 0.000 0.000
Sr1 0.000 0.000 0.374
Sr2 0.500 0.500 0.173
Cd1 0.500 0.500 0.500

# Na4SrCd4 (PBE, relaxed)
# - E_form (eV/atom) = -0.01
# - mass density (g/cm³) = 3.69
# - final energy (eV/atom) = -1.19
data_Na4SrCd4
_symmetry_space_group_name_H-M 'P 42/n m c'
_symmetry_Int_Tables_number 137
_cell_length_a 7.262
_cell_length_b 7.262
_cell_length_c 10.749
_cell_angle_alpha 90.00
_cell_angle_beta 90.00
_cell_angle_gamma 90.00
loop_
_symmetry_equiv_pos_as_xyz
'x,y,z'
'-x,-y,-z'
'-y+1/2,x,z+1/2'
'y+1/2,-x,-z+1/2'
'-x+1/2,-y+1/2,z'
'x+1/2,y+1/2,-z'
'y,-x+1/2,z+1/2'
'-y,x+1/2,-z+1/2'
'x+1/2,-y,-z'
'-x+1/2,y,z'
'-y,-x,-z+1/2'
'y,x,z+1/2'
'-x,y+1/2,-z'
'x,-y+1/2,z'
'y+1/2,x+1/2,-z+1/2'
'-y+1/2,-x+1/2,z+1/2'
loop_
_atom_site_label
_atom_site_fract_x
_atom_site_fract_y
_atom_site_fract_z
Na1 0.017 0.250 0.161
Sr1 0.250 0.750 0.250
Cd1 0.046 0.250 0.456

# Na4Sr5Cd (PBE, relaxed)
# - E_form (eV/atom) = -0.05
# - mass density (g/cm³) = 2.50
# - final energy (eV/atom) = -1.51
data_Na4Sr5Cd
_symmetry_space_group_name_H-M 'P 4/m m m'
_symmetry_Int_Tables_number 123
_symmetry_space_group_name_Hall '-P 4 2'
_cell_length_a 4.290
_cell_length_b 4.290
_cell_length_c 23.230
_cell_angle_alpha 90.00
_cell_angle_beta 90.00
_cell_angle_gamma 90.00
loop_
_atom_site_label
_atom_site_fract_x
_atom_site_fract_y
_atom_site_fract_z
Na1 0.000 0.000 0.103
Na2 0.000 0.000 0.312
Sr1 0.500 0.500 0.000
Sr2 0.500 0.500 0.207
Sr3 0.500 0.500 0.417
Cd1 0.000 0.000 0.500

Q: Which of these has the lowest final energy?
A: NaSr4Cd

Q: What is the formula in the third record?
A: Na4Sr5Cd